Density functional theory data (PBE-GGA) for a relaxed Ba2BeSe crystal.

Properties
* uncorrected energy: -12.42 eV for the cell shown
* calculated density: 4.41 g cm⁻³
* distance to the lowest polymorph of the same formula: 5.00 kcal/mol of atoms
* crystal system: tetragonal
* formation energy (no corrections): -0.34 eV per atom

Cell lengths 7.1156, 7.1156, 7.1156 Å; angles 141.84, 141.84, 55.06 degrees
Last column: nearest neighbours and their distance in Å.
Sites, in units of the cell vectors:
Be (0.5000, 0.5000, 0.0000)  4 Ba 3.29
Se (0.7500, 0.2500, 0.5000)  4 Ba 3.29
Ba (0.2500, 0.7500, 0.5000)  4 Se 3.29
Ba (0.0000, 0.0000, 0.0000)  4 Be 3.29